Entry a
Below is a relaxed LaGeC3 crystal, with properties calculated at the GGA-PBE level.

Calculated values
magnetization = 0.32 μB per formula unit
symmetry = Pm-3m, No. 221

a b c (Å): 4.537 4.537 4.537
angles (deg): 90.00 90.00 90.00
Fractional positions:
La1 0.000 0.000 0.000
Ge1 0.500 0.500 0.500
C1 0.000 0.000 0.500
C2 0.000 0.500 0.000
C3 0.500 0.000 0.000



Entry b
Below is a relaxed LaGeC3 crystal, with properties calculated at the GGA-PBE level.

Calculated values
magnetization = 0.00 μB per formula unit
symmetry = Pm-3m, No. 221

a b c (Å): 4.057 4.057 4.057
angles (deg): 90.00 90.00 90.00
Fractional positions:
La1 0.000 0.000 0.000
Ge1 0.500 0.500 0.500
C1 0.000 0.500 0.500
C2 0.500 0.000 0.500
C3 0.500 0.500 0.000



Last place for stability: entry a



Entry a
Below is a relaxed La2GeOsC crystal, with properties calculated at the GGA-PBE level.

Calculated values
magnetization = 0.00 μB per formula unit
symmetry = P2_1/m, No. 11

a b c (Å): 6.547 4.244 8.895
angles (deg): 90.00 109.95 90.00
Fractional positions:
La1 0.214 0.250 0.391
La2 0.230 0.250 0.970
La3 0.770 0.750 0.030
La4 0.786 0.750 0.609
Ge1 0.306 0.750 0.696
Ge2 0.694 0.250 0.304
Os1 0.487 0.750 0.251
Os2 0.513 0.250 0.749
C1 0.185 0.750 0.174
C2 0.815 0.250 0.826



Entry b
Below is a relaxed La2GeOsC crystal, with properties calculated at the GGA-PBE level.

Calculated values
magnetization = 0.00 μB per formula unit
symmetry = P4/mmm, No. 123

a b c (Å): 5.307 5.307 3.942
angles (deg): 90.00 90.00 90.00
Fractional positions:
La1 0.000 0.500 0.000
La2 0.500 0.000 0.000
Ge1 0.000 0.000 0.500
Os1 0.500 0.500 0.500
C1 0.500 0.500 0.000



Last place for stability: entry b



Entry a
Below is a relaxed LiGe3C crystal, with properties calculated at the GGA-PBE level.

Calculated values
magnetization = 0.00 μB per formula unit
symmetry = Pm-3m, No. 221

a b c (Å): 4.449 4.449 4.449
angles (deg): 90.00 90.00 90.00
Fractional positions:
Li1 0.000 0.000 0.000
Ge1 0.000 0.000 0.500
Ge2 0.000 0.500 0.000
Ge3 0.500 0.000 0.000
C1 0.500 0.500 0.500



Entry b
Below is a relaxed LiGe3C crystal, with properties calculated at the GGA-PBE level.

Calculated values
magnetization = 0.00 μB per formula unit
symmetry = Pm-3m, No. 221

a b c (Å): 4.368 4.368 4.368
angles (deg): 90.00 90.00 90.00
Fractional positions:
Li1 0.000 0.000 0.000
Ge1 0.000 0.500 0.500
Ge2 0.500 0.000 0.500
Ge3 0.500 0.500 0.000
C1 0.500 0.500 0.500



Last place for stability: entry a



Entry a
Below is a relaxed Li3GeC crystal, with properties calculated at the GGA-PBE level.

Calculated values
magnetization = 0.00 μB per formula unit
symmetry = Pm-3m, No. 221

a b c (Å): 4.056 4.056 4.056
angles (deg): 90.00 90.00 90.00
Fractional positions:
Li1 0.000 0.000 0.500
Li2 0.000 0.500 0.000
Li3 0.500 0.000 0.000
Ge1 0.500 0.500 0.500
C1 0.000 0.000 0.000



Entry b
Below is a relaxed Li3GeC crystal, with properties calculated at the GGA-PBE level.

Calculated values
magnetization = 1.00 μB per formula unit
symmetry = Pm-3m, No. 221

a b c (Å): 4.813 4.813 4.813
angles (deg): 90.00 90.00 90.00
Fractional positions:
Li1 0.000 0.000 0.500
Li2 0.000 0.500 0.000
Li3 0.500 0.000 0.000
Ge1 0.000 0.000 0.000
C1 0.500 0.500 0.500



Last place for stability: entry b



Entry a
Below is a relaxed MgGeC3 crystal, with properties calculated at the GGA-PBE level.

Calculated values
magnetization = 0.00 μB per formula unit
symmetry = Pm-3m, No. 221

a b c (Å): 3.979 3.979 3.979
angles (deg): 90.00 90.00 90.00
Fractional positions:
Mg1 0.000 0.000 0.000
Ge1 0.500 0.500 0.500
C1 0.000 0.500 0.500
C2 0.500 0.000 0.500
C3 0.500 0.500 0.000



Entry b
Below is a relaxed MgGeC3 crystal, with properties calculated at the GGA-PBE level.

Calculated values
magnetization = 0.00 μB per formula unit
symmetry = Pm-3m, No. 221

a b c (Å): 4.113 4.113 4.113
angles (deg): 90.00 90.00 90.00
Fractional positions:
Mg1 0.000 0.000 0.000
Ge1 0.500 0.500 0.500
C1 0.000 0.000 0.500
C2 0.000 0.500 0.000
C3 0.500 0.000 0.000



Last place for stability: entry b



Entry a
Below is a relaxed MgGe3C crystal, with properties calculated at the GGA-PBE level.

Calculated values
magnetization = 0.00 μB per formula unit
symmetry = Pm-3m, No. 221

a b c (Å): 4.422 4.422 4.422
angles (deg): 90.00 90.00 90.00
Fractional positions:
Mg1 0.000 0.000 0.000
Ge1 0.000 0.500 0.500
Ge2 0.500 0.000 0.500
Ge3 0.500 0.500 0.000
C1 0.500 0.500 0.500



Entry b
Below is a relaxed MgGe3C crystal, with properties calculated at the GGA-PBE level.

Calculated values
magnetization = 1.18 μB per formula unit
symmetry = Pm-3m, No. 221

a b c (Å): 4.957 4.957 4.957
angles (deg): 90.00 90.00 90.00
Fractional positions:
Mg1 0.000 0.000 0.000
Ge1 0.000 0.000 0.500
Ge2 0.000 0.500 0.000
Ge3 0.500 0.000 0.000
C1 0.500 0.500 0.500



Last place for stability: entry b